A plane-wave DFT calculation with PBE was carried out for a geometry-optimized CoTc3P structure.

Values from the calculation:
crystal system = cubic
energy of formation = 1.5015 eV per atom
energy relative to the lowest polymorph listed for this composition = 0.677 eV per atom

a = 4.3907 Å, b = 4.3907 Å, c = 4.3907 Å
α = 90.00°, β = 90.00°, γ = 90.00°
Fractional positions:
Co 0.0000 0.0000 0.0000
Tc 0.0000 0.0000 0.5000
Tc 0.0000 0.5000 0.0000
Tc 0.5000 0.0000 0.0000
P 0.5000 0.5000 0.5000